Density functional theory data (PBE-GGA) for an optimized crystal structure of MgScRu2.

DFT total energy: -26.8 eV per formula unit
V: 64 Å³ per cell
Space-group type: Pmmm, No. 47

abc: 3.2091 4.7796 4.1954
angles: 90.00 90.00 90.00
Closest atoms and distances in Å follow each position.
Positions (direct):
1 Mg 0.0000 0.5000 0.5000  4 Ru 2.64, 4 Sc 2.88
2 Sc 0.5000 0.0000 0.5000  4 Ru 2.64, 4 Mg 2.88
3 Ru 0.0000 0.0000 0.0000  4 Sc 2.64, 4 Ru 2.88
4 Ru 0.5000 0.5000 0.0000  4 Mg 2.64, 4 Ru 2.88